No. 1
Here is a relaxed TaMo2Pb2 crystal from Alexandria. Energies are from PBE-GGA.

abc: 7.8688 7.8688 3.2356
angles: 90.00 90.00 90.00
With the nearest neighbours (Å) after each atom.
Space group P4/mbm (No. 127)
One atom of each set of equivalent atoms:
Ta  0.0000  0.0000  0.0000  4 Pb 2.93, 2 Ta 3.24
Mo  0.1262  0.3738  0.5000  6 Pb 2.80-2.84, 1 Mo 2.81
Pb  0.1679  0.6680  0.0000  6 Mo 2.80-2.84, 2 Ta 2.93

Output
**Theoretical density**: 13050 kg/m³
**Electronic total energy**: -7.287 eV per atom
**Crystal system**: tetragonal
**Energy of formation**: 0.90 eV/atom



No. 2
Here is a relaxed SrLi2Au2 crystal from Alexandria. Energies are from PBE-GGA.

abc: 7.7875 7.7875 3.3421
angles: 90.00 90.00 90.00
With the nearest neighbours (Å) after each atom.
Space group P4/mbm (No. 127)
One atom of each set of equivalent atoms:
Sr  0.0000  0.0000  0.0000  4 Li 3.12, 8 Au 3.33, 2 Sr 3.34
Li  0.1169  0.3831  0.0000  1 Li 2.58, 6 Au 2.83-2.86
Au  0.1718  0.6718  0.5000  6 Li 2.83-2.86

Output
**Theoretical density**: 8118 kg/m³
**Electronic total energy**: -2.905 eV per atom
**Crystal system**: tetragonal
**Energy of formation**: -0.49 eV/atom